Ta2MoPb: optimized geometry, PBE.

Lattice parameters (Å, degrees): 4.8728 4.8728 3.3137 90.00 90.00 106.23
Closest atoms and distances in Å follow each position.
Positions (direct):
Mo: 0.5000 0.0000 0.5000  2 Pb 2.92, 8 Ta 2.95
Ta: 0.0000 0.0000 0.0000  2 Ta 2.92, 4 Mo 2.95, 4 Pb 2.95
Ta: 0.5000 0.5000 0.0000  2 Ta 2.92, 4 Pb 2.95, 4 Mo 2.95
Pb: 0.0000 0.5000 0.5000  2 Mo 2.92, 8 Ta 2.95

Values from the calculation:
For the energy of formation, the calculation gives 0.398 eV per atom. Its space-group type is Cmmm. The calculated density comes out at 14.618 Mg/m³.